Entry from Alexandria: a geometry-optimized NiI2O2 structure (PBE+U).

Results
Relative energy among the computed polymorphs, eV/f.u.: 4.11
Magnetic moment, μB/cell: 2.16
Total DFT energy (no corrections), eV per atom: -2.13

Unit cell a=4.868 b=4.868 c=3.904 alpha=90.00 beta=90.00 gamma=90.00
Space group P4/mmm (No. 123)
Asymmetric unit:
Ni: 0.000 0.000 0.000 [1 per cell]
I: 0.000 0.500 0.500 [2 per cell]
O: 0.500 0.500 0.000 [1 per cell]
O: 0.500 0.500 0.500 [1 per cell]